[1]
A plane-wave DFT calculation with PBE was carried out for a geometry-optimized PrCd4Hg4 structure.

## Properties
space group	I4/mmm
relative energy among the computed polymorphs	0.0	meV/atom

Geometry as POSCAR:
```
PrCd4Hg4
1.0
4.190 0.000 1.419
2.095 7.090 0.709
-0.179 0.000 7.425
Pr Cd Hg
1 4 4
direct
0.000 0.000 0.000
0.660 0.340 0.340
0.000 0.340 0.660
0.000 0.660 0.340
0.340 0.660 0.660
0.672 0.000 0.656
0.672 0.656 0.000
0.328 0.344 0.000
0.328 0.000 0.344
```

[2]
A plane-wave DFT calculation with PBE was carried out for a geometry-optimized Pr6Cd3Hg structure.

## Properties
space group	P2_1/m

Geometry as POSCAR:
```
Pr6Cd3Hg
1.0
5.515 0.000 0.000
0.000 8.998 -3.100
0.000 0.010 12.187
Hg Cd Pr
2 6 12
direct
0.750 0.045 0.413
0.250 0.955 0.587
0.750 0.232 0.024
0.250 0.391 0.786
0.250 0.768 0.976
0.750 0.609 0.214
0.250 0.531 0.373
0.750 0.469 0.627
0.750 0.539 0.914
0.750 0.742 0.498
0.250 0.258 0.502
0.750 0.337 0.325
0.250 0.663 0.675
0.750 0.156 0.698
0.250 0.844 0.302
0.250 0.461 0.086
0.750 0.867 0.849
0.250 0.133 0.151
0.250 0.089 0.867
0.750 0.911 0.133
```

[3]
A plane-wave DFT calculation with PBE was carried out for a geometry-optimized Pr4CdHg structure.

## Properties
space group	P4/mmm

Geometry as POSCAR:
```
Pr4CdHg
1.0
3.804 -0.001 0.000
0.001 3.804 0.000
-0.001 -0.001 13.147
Pr Hg Cd
4 1 1
direct
0.000 0.000 0.348
0.500 0.500 0.846
0.500 0.500 0.154
0.000 0.000 0.652
0.500 0.500 0.500
0.000 0.000 0.000
```

[4]
A plane-wave DFT calculation with PBE was carried out for a geometry-optimized PrCd6Hg structure.

## Properties
space group	P6/mmm

Geometry as POSCAR:
```
PrCd6Hg
1.0
-3.072 -1.768 -4.851
5.989 -0.471 0.103
-0.516 -6.014 2.518
Pr Cd Hg
1 6 1
direct
0.000 0.000 0.500
0.500 0.000 0.249
0.500 0.500 0.752
0.000 0.500 0.751
0.500 0.500 0.248
0.000 0.500 0.249
0.500 0.000 0.751
0.000 0.000 0.000
```

[5]
A plane-wave DFT calculation with PBE was carried out for a geometry-optimized PrCd2Hg8 structure.

## Properties
space group	C2/m
relative energy among the computed polymorphs	0.0	meV/atom

Geometry as POSCAR:
```
PrCd2Hg8
1.0
4.745 0.000 -1.364
-0.618 6.572 -2.151
-0.103 0.823 8.577
Cd Hg Pr
2 8 1
direct
0.756 0.357 0.512
0.244 0.643 0.488
0.128 0.224 0.256
0.306 0.091 0.613
0.066 0.750 0.132
0.411 0.521 0.821
0.694 0.909 0.387
0.589 0.479 0.179
0.934 0.250 0.868
0.872 0.776 0.744
0.500 0.000 0.000
```

[6]
A plane-wave DFT calculation with PBE was carried out for a geometry-optimized Pr5CdHg6 structure.

## Properties
space group	Cmmm

Geometry as POSCAR:
```
Pr5CdHg6
1.0
-3.364 2.629 3.306
-3.983 -6.521 1.133
3.017 -0.477 7.858
Pr Hg Cd
5 6 1
direct
0.346 0.000 0.309
0.654 0.000 0.691
0.000 0.500 0.000
0.677 0.500 0.646
0.323 0.500 0.354
0.163 0.235 0.674
0.500 0.267 0.000
0.837 0.765 0.326
0.837 0.235 0.326
0.500 0.733 0.000
0.163 0.765 0.674
0.000 0.000 0.000
```

[7]
A plane-wave DFT calculation with PBE was carried out for a geometry-optimized PrCdHg structure.

## Properties
space group	I4mm

Geometry as POSCAR:
```
PrCdHg
1.0
-0.250 -3.589 -1.584
2.943 0.879 -2.454
2.139 -0.448 5.555
Hg Pr Cd
1 1 1
direct
0.626 0.626 0.252
0.950 0.950 0.900
0.274 0.274 0.548
```

[8]
A plane-wave DFT calculation with PBE was carried out for a geometry-optimized PrCd4Hg structure.

## Properties
space group	Cmcm
relative energy among the computed polymorphs	6.4	meV/atom

Geometry as POSCAR:
```
PrCd4Hg
1.0
-0.096 3.668 2.539
2.462 -4.020 5.901
8.436 -0.039 -3.546
Pr Hg Cd
2 2 8
direct
0.120 0.250 0.239
0.880 0.750 0.761
0.762 0.250 0.524
0.238 0.750 0.476
0.666 0.945 0.333
0.500 0.500 0.000
0.334 0.445 0.667
0.934 0.250 0.867
0.334 0.055 0.667
0.666 0.555 0.333
0.066 0.750 0.133
0.500 0.000 0.000
```

no.,uncorrected energy (eV per atom),DFT formation energy (eV per formula unit)
1,-1.233,-1.4
2,-3.428,-2.6
3,-3.641,-1.5
4,-1.412,-0.7
5,-0.948,-1.4
6,-2.660,-5.3
7,-2.284,-0.9
8,-1.673,-1.3